Material: Mn2ICl2
Method: DFT, PBE-GGA
State: relaxed

Cell lengths 3.595, 3.595, 8.691 Å; angles 78.06, 78.06, 90.00 degrees
Element x y z (fractional)
Mn 0.750 0.250 0.500
Cl 0.329 0.329 0.342
Mn 0.250 0.750 0.500
Cl 0.671 0.671 0.658
I 0.000 0.000 0.000

Output
The calculation puts the energy above the most stable polymorph in this dataset at 113.1 meV per atom. The symmetry is I4/mmm, No. 139. Its uncorrected formation energy is 0.1509 eV per atom. The total energy comes out at -4.5656 eV per atom. As for the density of states at the Fermi level: 4.236 states/eV/cell. As for the spin magnetization: 0.0 μB/f.u.

***

Material: Li3TiCl
Method: DFT, PBE-GGA
State: relaxed

Cell lengths 4.712, 4.712, 4.712 Å; angles 90.00, 90.00, 90.00 degrees
Element x y z (fractional)
Li 0.000 0.000 0.500
Li 0.500 0.000 0.000
Li 0.000 0.500 0.000
Cl 0.000 0.000 0.000
Ti 0.500 0.500 0.500

Output
The calculation puts the energy above the most stable polymorph in this dataset at 0.0 meV per atom. The symmetry is Pm-3m, No. 221. Its uncorrected formation energy is -0.0176 eV per atom. The total energy comes out at -3.1142 eV per atom. As for the density of states at the Fermi level: 9.746 states/eV/cell. As for the spin magnetization: 4.0 μB/f.u.